Entry 1:
The following is a DFT calculation (meta-GGA SCAN) of ZrScMnNi3 at its PBEsol-relaxed geometry.

Summary:
The energy of formation comes out at -0.482 eV per atom. As for the density of states at the Fermi level: 4.65 states/eV/cell. The calculation puts the total energy at -19.101 eV per atom.

Structure (POSCAR):
```
ZrScMnNi3
1.0
2.448 1.413 3.946
-2.448 1.413 3.946
0.000 -2.827 3.946
Zr Sc Mn Ni
1 1 1 3
Cartesian
0.000 0.000 0.000
0.000 0.000 2.996
0.000 0.000 7.425
-1.221 -0.705 5.454
1.221 -0.705 5.454
0.000 1.410 5.454
```

Entry 2:
The following is a DFT calculation (meta-GGA SCAN) of MnNiSe2 at its PBEsol-relaxed geometry.

Summary:
The calculation puts the distance to the lowest polymorph of the same formula at 569 meV/atom. As for the density of states at the Fermi level: 5.60 states/eV/cell. The calculation puts the total energy at -18.668 eV per atom.

Structure (POSCAR):
```
MnNiSe2
1.0
6.150 0.000 0.000
0.000 6.150 0.000
0.000 0.000 6.150
Mn Ni Se
4 4 8
Cartesian
0.000 0.000 0.000
0.000 3.075 3.075
3.075 0.000 3.075
3.075 3.075 0.000
0.000 0.000 3.075
0.000 3.075 0.000
3.075 0.000 0.000
3.075 3.075 3.075
1.538 1.538 1.538
1.538 1.538 4.613
1.538 4.613 1.538
1.538 4.613 4.613
4.613 1.538 1.538
4.613 1.538 4.613
4.613 4.613 1.538
4.613 4.613 4.613
```